(1)
The following is a meta-GGA SCAN calculation of a crystal of Zr2CoCl relaxed with PBEsol, from Alexandria.

* DOS at the Fermi energy: 2.53 states/eV/f.u.
* formation energy without anion corrections: -1.74 eV per formula unit

a = 3.6090 Å, b = 3.6090 Å, c = 5.2072 Å
α = 90.00°, β = 90.00°, γ = 90.00°
With the nearest neighbours (Å) after each atom.
Sites, in units of the cell vectors:
Zr: 0.5000 0.5000 0.3750  4 Cl 2.55, 2 Co 2.60
Zr: 0.0000 0.0000 0.8750  4 Co 2.55, 2 Cl 2.60
Co: 0.5000 0.5000 0.8750  6 Zr 2.55-2.60
Cl: 0.0000 0.0000 0.3751  6 Zr 2.55-2.60

---

(2)
The following is a meta-GGA SCAN calculation of a crystal of ZrCoCl2 relaxed with PBEsol, from Alexandria.

* DOS at the Fermi energy: 2.73 states/eV/f.u.
* formation energy without anion corrections: -2.34 eV per formula unit

a = 3.1641 Å, b = 3.1641 Å, c = 8.1579 Å
α = 78.82°, β = 78.82°, γ = 60.00°
With the nearest neighbours (Å) after each atom.
Sites, in units of the cell vectors:
Cl: 0.9105 0.9105 0.2686  1 Co 2.14
Cl: 0.0895 0.0895 0.7314  1 Co 2.14
Zr: 0.5000 0.5000 0.5000  6 Cl 2.59
Co: 0.0000 0.0000 0.0000  2 Cl 2.14

---

(3)
The following is a meta-GGA SCAN calculation of a crystal of ZrCoCl2 relaxed with PBEsol, from Alexandria.

* DOS at the Fermi energy: 1.90 states/eV/f.u.
* formation energy without anion corrections: -2.38 eV per formula unit

a = 3.1076 Å, b = 3.1076 Å, c = 9.5184 Å
α = 80.60°, β = 80.60°, γ = 60.00°
With the nearest neighbours (Å) after each atom.
Sites, in units of the cell vectors:
Co: 0.0000 0.0000 0.0000  6 Co 3.11, 6 Cl 3.35
Cl: 0.7676 0.7676 0.6973  3 Zr 2.57
Cl: 0.2324 0.2324 0.3027  3 Zr 2.57
Zr: 0.5000 0.5000 0.5000  6 Cl 2.57

---

(4)
The following is a meta-GGA SCAN calculation of a crystal of ZrCoCl2 relaxed with PBEsol, from Alexandria.

* DOS at the Fermi energy: 2.18 states/eV/f.u.
* formation energy without anion corrections: -1.03 eV per formula unit

a = 3.5692 Å, b = 3.5692 Å, c = 5.4731 Å
α = 109.03°, β = 109.03°, γ = 90.00°
With the nearest neighbours (Å) after each atom.
Sites, in units of the cell vectors:
Cl: 0.0000 0.0000 0.0000  4 Co 2.52
Cl: 0.7500 0.2500 0.5000  4 Zr 2.52
Zr: 0.2500 0.7500 0.5000  4 Cl 2.52
Co: 0.5000 0.5000 0.0000  4 Cl 2.52